{
  "formula": "Ac3PrZn2",
  "functional": "PBE-GGA",
  "state": "relaxed",
  "lattice": [[3.9225, 0.0000, 0.0000], [0.0000, 3.9225, 0.0000], [0.0000, 0.0000, 13.1148]],
  "species": ["Ac", "Ac", "Ac", "Pr", "Zn", "Zn"],
  "fractional_positions": [[0.0000, 0.0000, 0.0000], [0.0000, 0.0000, 0.2942], [0.0000, 0.0000, 0.7058], [0.5000, 0.5000, 0.5000], [0.5000, 0.5000, 0.1502], [0.5000, 0.5000, 0.8498]],
  "energy_ev_per_atom": -3.43,
  "vol_a3_per_atom": 33.6,
  "formation_energy_ev_per_atom": -0.16
}



{
  "formula": "Ac3Pr4Zn",
  "functional": "PBE-GGA",
  "state": "relaxed",
  "lattice": [[3.8311, 0.0000, 0.0000], [0.0000, 3.8311, 0.0000], [0.0000, 0.0000, 19.8556]],
  "species": ["Ac", "Ac", "Ac", "Pr", "Pr", "Pr", "Pr", "Zn"],
  "fractional_positions": [[0.0000, 0.0000, 0.0000], [0.0000, 0.0000, 0.2729], [0.0000, 0.0000, 0.7271], [0.5000, 0.5000, 0.1360], [0.5000, 0.5000, 0.4099], [0.5000, 0.5000, 0.5901], [0.5000, 0.5000, 0.8640], [0.0000, 0.0000, 0.5000]],
  "energy_ev_per_atom": -4.15,
  "vol_a3_per_atom": 36.4,
  "formation_energy_ev_per_atom": -0.06
}



{
  "formula": "Ac2PrZn5",
  "functional": "PBE-GGA",
  "state": "relaxed",
  "lattice": [[5.1785, 0.0000, 0.0000], [0.0000, 5.1785, 0.0000], [0.0000, 0.0000, 14.9312]],
  "species": ["Ac", "Ac", "Ac", "Ac", "Pr", "Pr", "Zn", "Zn", "Zn", "Zn", "Zn", "Zn", "Zn", "Zn", "Zn", "Zn"],
  "fractional_positions": [[0.0000, 0.0000, 0.2291], [0.0000, 0.0000, 0.7709], [0.5000, 0.5000, 0.2709], [0.5000, 0.5000, 0.7291], [0.0000, 0.0000, 0.5000], [0.5000, 0.5000, 0.0000], [0.0000, 0.0000, 0.0000], [0.0000, 0.5000, 0.1051], [0.0000, 0.5000, 0.3949], [0.0000, 0.5000, 0.6051], [0.0000, 0.5000, 0.8949], [0.5000, 0.0000, 0.1051], [0.5000, 0.0000, 0.3949], [0.5000, 0.0000, 0.6051], [0.5000, 0.0000, 0.8949], [0.5000, 0.5000, 0.5000]],
  "energy_ev_per_atom": -2.63,
  "vol_a3_per_atom": 25.0,
  "formation_energy_ev_per_atom": -0.20
}



{
  "formula": "Ac3Pr2Zn2",
  "functional": "PBE-GGA",
  "state": "relaxed",
  "lattice": [[3.8507, 0.0000, 0.0000], [0.0000, 32.9137, 0.0000], [0.0000, 0.0000, 3.8267]],
  "species": ["Ac", "Ac", "Ac", "Ac", "Ac", "Ac", "Pr", "Pr", "Pr", "Pr", "Zn", "Zn", "Zn", "Zn"],
  "fractional_positions": [[0.0000, 0.0000, 0.0000], [0.0000, 0.1210, 0.0000], [0.0000, 0.8790, 0.0000], [0.5000, 0.3790, 0.0000], [0.5000, 0.5000, 0.0000], [0.5000, 0.6210, 0.0000], [0.0000, 0.2959, 0.5000], [0.0000, 0.7041, 0.5000], [0.5000, 0.2041, 0.5000], [0.5000, 0.7959, 0.5000], [0.0000, 0.4392, 0.5000], [0.0000, 0.5608, 0.5000], [0.5000, 0.0608, 0.5000], [0.5000, 0.9392, 0.5000]],
  "energy_ev_per_atom": -3.55,
  "vol_a3_per_atom": 34.6,
  "formation_energy_ev_per_atom": -0.06
}



{
  "formula": "Ac2PrZn6",
  "functional": "PBE-GGA",
  "state": "relaxed",
  "lattice": [[8.1028, 0.0000, 0.0000], [-4.0514, 7.0173, 0.0000], [0.0000, 0.0000, 3.8518]],
  "species": ["Ac", "Ac", "Pr", "Zn", "Zn", "Zn", "Zn", "Zn", "Zn"],
  "fractional_positions": [[0.3333, 0.6667, 0.0000], [0.6667, 0.3333, 0.0000], [0.0000, 0.0000, 0.0000], [0.0000, 0.3264, 0.5000], [0.0000, 0.6736, 0.5000], [0.3264, 0.0000, 0.5000], [0.3264, 0.3264, 0.5000], [0.6736, 0.0000, 0.5000], [0.6736, 0.6736, 0.5000]],
  "energy_ev_per_atom": -2.60,
  "vol_a3_per_atom": 24.3,
  "formation_energy_ev_per_atom": -0.30
}



{
  "formula": "AcPr2Zn9",
  "functional": "PBE-GGA",
  "state": "relaxed",
  "lattice": [[2.8263, 1.6317, 8.7931], [-2.8263, 1.6317, 8.7931], [0.0000, -3.2635, 8.7931]],
  "species": ["Ac", "Pr", "Pr", "Zn", "Zn", "Zn", "Zn", "Zn", "Zn", "Zn", "Zn", "Zn"],
  "fractional_positions": [[0.0000, 0.0000, 0.0000], [0.1432, 0.1432, 0.1432], [0.8568, 0.8568, 0.8568], [0.0783, 0.5839, 0.5839], [0.3351, 0.3351, 0.3351], [0.4161, 0.4161, 0.9217], [0.4161, 0.9217, 0.4161], [0.5000, 0.5000, 0.5000], [0.5839, 0.0783, 0.5839], [0.5839, 0.5839, 0.0783], [0.6649, 0.6649, 0.6649], [0.9217, 0.4161, 0.4161]],
  "energy_ev_per_atom": -2.38,
  "vol_a3_per_atom": 20.3,
  "formation_energy_ev_per_atom": -0.29
}